Below is a relaxed structure of CePdAu, with properties calculated at the PBE level.

abc: 6.655 6.655 6.655
angles: 90.00 90.00 90.00
Sites, in units of the cell vectors:
Ce1 0.000 0.000 0.000
Ce2 0.000 0.500 0.500
Ce3 0.500 0.000 0.500
Ce4 0.500 0.500 0.000
Pd1 0.250 0.250 0.750
Pd2 0.250 0.750 0.250
Pd3 0.750 0.250 0.250
Pd4 0.750 0.750 0.750
Au1 0.000 0.000 0.500
Au2 0.000 0.500 0.000
Au3 0.500 0.000 0.000
Au4 0.500 0.500 0.500

Space group: F-43m, No. 216
Energy of formation from the pure elements (eV per atom): -0.586
Total DFT energy (no corrections) (eV per atom): -5.39